Material: SrCdHg2
Method: DFT, GGA-PBE
State: optimized geometry

Output
Its calculated volume is 108 Å³/f.u. The value obtained for the energy is -18.80 eV/cell.

POSCAR file:
```
SrCdHg2
1.0
-1.411 7.062 -1.353
-2.639 -1.388 -4.494
-9.322 -0.769 5.713
Sr Hg Cd
4 8 4
direct
0.251 0.750 0.400 Sr
0.749 0.250 0.600 Sr
0.249 0.750 0.900 Sr
0.751 0.250 0.100 Sr
0.000 0.250 0.852 Hg
0.501 0.750 0.147 Hg
0.500 0.250 0.352 Hg
0.999 0.750 0.647 Hg
0.000 0.750 0.148 Hg
0.001 0.250 0.353 Hg
0.500 0.750 0.648 Hg
0.499 0.250 0.853 Hg
0.749 0.750 0.886 Cd
0.251 0.250 0.114 Cd
0.249 0.250 0.614 Cd
0.751 0.750 0.386 Cd
```